Record 1
# CaTmMgPb | the Alexandria database | GGA-PBE | optimized geometry
data_CaTmMgPb
_symmetry_space_group_name_H-M 'P 1'
_symmetry_Int_Tables_number 1
_symmetry_space_group_name_Hall 'P 1'
_cell_length_a 5.4128
_cell_length_b 5.4128
_cell_length_c 5.4128
_cell_angle_alpha 60.00
_cell_angle_beta 60.00
_cell_angle_gamma 60.00
loop_
_atom_site_label
_atom_site_fract_x
_atom_site_fract_y
_atom_site_fract_z
_atom_site_occupancy
Ca1 0.0000 0.0000 0.0000 1
Tm1 0.5000 0.5000 0.5000 1
Mg1 0.2500 0.2500 0.2500 1
Pb1 0.7500 0.7500 0.7500 1
# V = 28.03 Å³ per atom
# SG = F-43m
# energy of formation from the pure elements = -253 meV/atom
# DOS(E_F) = 3.3 states/eV/f.u.

Record 2
# Bi2SbS2 | the Alexandria database | GGA-PBE | optimized geometry
data_Bi2SbS2
_symmetry_space_group_name_H-M 'P 1'
_symmetry_Int_Tables_number 1
_symmetry_space_group_name_Hall 'P 1'
_cell_length_a 5.8160
_cell_length_b 5.8160
_cell_length_c 5.8160
_cell_angle_alpha 122.92
_cell_angle_beta 122.92
_cell_angle_gamma 85.01
loop_
_atom_site_label
_atom_site_fract_x
_atom_site_fract_y
_atom_site_fract_z
_atom_site_occupancy
Bi1 0.2500 0.7500 0.5000 1
Bi2 0.7500 0.2500 0.5000 1
Sb1 0.0000 0.0000 0.0000 1
S1 0.3742 0.3742 0.0000 1
S2 0.6258 0.6258 0.0000 1
# V = 26.48 Å³ per atom
# SG = I4/mmm
# energy above the lowest structure with this stoichiometry = 0.153 eV/f.u.
# DOS(E_F) = 3.3 states/eV/f.u.